Here is a relaxed structure of ScSiP2 from Alexandria. Energies are from PBE-GGA.

Computed properties:
theoretical density	3.1	g/cm3
ΔE_f (raw)	-2.4	eV per formula unit
magnetic moment	0.0000	μB per atom
D(E_F)	0.2431	states/eV per atom

abc: 3.6311 3.6035 5.5358
angles: 90.00 90.92 90.00
Closest atoms and distances in Å follow each position.
Space group Pm (No. 6)
Unique sites:
1 Sc 0.0000 0.0000 0.0000 x1  6 P 2.55-2.80
2 Si 0.4592 0.5000 0.5996 x1  3 P 2.30-2.46
3 P 0.0166 0.0000 0.5062 x1  2 Si 2.46, 1 Sc 2.74
4 P 0.4982 0.5000 0.0156 x1  1 Si 2.30, 4 Sc 2.55-2.56